Record 1
AcTbZnAg | the Alexandria database | GGA-PBE | optimized geometry; energy above the lowest structure with this stoichiometry = 0.000 eV per atom; energy relative to the elements = -276 meV per atom
1.0
3.766 0.000 0.000
0.000 3.766 0.000
0.000 0.000 7.584
Ac Tb Zn Ag
1 1 1 1
Direct
0.000 0.000 0.000 Ac
0.000 0.000 0.489 Tb
0.500 0.500 0.277 Zn
0.500 0.500 0.705 Ag

---

Record 2
LaPrSm2 | the Alexandria database | GGA-PBE | optimized geometry; energy above the lowest structure with this stoichiometry = 0.000 eV per atom; energy relative to the elements = -5 meV per atom
1.0
3.702 0.000 0.000
-1.851 3.206 0.000
0.000 0.000 11.833
La Pr Sm
1 1 2
Direct
0.000 0.000 0.000 La
0.000 0.000 0.500 Pr
0.333 0.667 0.749 Sm
0.667 0.333 0.251 Sm

---

Record 3
AcTcC2 | the Alexandria database | GGA-PBE | optimized geometry; energy above the lowest structure with this stoichiometry = 0.495 eV per atom; energy relative to the elements = 573 meV per atom
1.0
1.681 0.971 5.916
-1.681 0.971 5.916
0.000 -1.942 5.916
Ac Tc C
1 1 2
Direct
0.000 0.000 0.000 Ac
0.500 0.500 0.500 Tc
0.227 0.227 0.227 C
0.773 0.773 0.773 C